Record 1
## TaC3F (SCAN)

Data for a crystal of TaC3F relaxed with PBEsol.

Unit cell a=3.568 b=3.568 c=3.568 alpha=90.00 beta=90.00 gamma=90.00
Atoms (fractional coordinates):
C: 0.000 0.500 0.000
C: 0.000 0.000 0.500
C: 0.500 0.000 0.000
F: 0.000 0.000 0.000
Ta: 0.500 0.500 0.500

Results
E_form (uncorrected) in eV/atom: 2.33

***

Record 2
## Tc3CF (SCAN)

Data for a crystal of Tc3CF relaxed with PBEsol.

Unit cell a=4.028 b=4.028 c=4.028 alpha=90.00 beta=90.00 gamma=90.00
Atoms (fractional coordinates):
C: 0.500 0.500 0.500
Tc: 0.000 0.500 0.000
Tc: 0.000 0.000 0.500
Tc: 0.500 0.000 0.000
F: 0.000 0.000 0.000

Results
E_form (uncorrected) in eV/atom: 2.07

***

Record 3
## TcCF3 (SCAN)

Data for a crystal of TcCF3 relaxed with PBEsol.

Unit cell a=4.018 b=4.018 c=4.018 alpha=90.00 beta=90.00 gamma=90.00
Atoms (fractional coordinates):
C: 0.500 0.500 0.500
Tc: 0.000 0.000 0.000
F: 0.000 0.500 0.000
F: 0.000 0.000 0.500
F: 0.500 0.000 0.000

Results
E_form (uncorrected) in eV/atom: -0.05

***

In the order shown, the computed magnetic moment values come out to 0.0000; 0.7820; 0.9368 μB per atom.